First-principles (PBE) data for a geometry-optimized Zr2U3N4 structure, as listed in Alexandria.

Lattice parameters (Å, degrees): 11.3354 3.3822 8.3723 90.00 121.32 90.00
Space group C2/m (No. 12)
Inequivalent atoms, fractional coordinates:
Zr 0.1112 0.0000 0.3954 (multiplicity 4)
U 0.0000 0.5000 0.0000 (multiplicity 2)
U 0.1936 0.5000 0.7944 (multiplicity 4)
N 0.0938 0.0000 0.8927 (multiplicity 4)
N 0.2036 0.5000 0.3047 (multiplicity 4)

Summary:
- ΔE_f (raw): -1.24 eV/atom
- Mass density: 11.54 g/cm³
- Final energy: -10.5978 eV/atom

First-principles (PBE) data for a geometry-optimized Na2ZnAuO structure, as listed in Alexandria.

Lattice parameters (Å, degrees): 4.7164 4.7164 4.0173 90.00 90.00 90.00
Space group P4/mmm (No. 123)
Inequivalent atoms, fractional coordinates:
Na 0.0000 0.5000 0.0000 (multiplicity 2)
Zn 0.0000 0.0000 0.5000 (multiplicity 1)
Au 0.5000 0.5000 0.5000 (multiplicity 1)
O 0.0000 0.0000 0.0000 (multiplicity 1)

Summary:
- ΔE_f (raw): -0.68 eV/atom
- Mass density: 6.03 g/cm³
- Final energy: -3.1118 eV/atom

First-principles (PBE) data for a geometry-optimized ZnCu2Pt5 structure, as listed in Alexandria.

Lattice parameters (Å, degrees): 5.4809 10.8998 3.9082 90.00 90.00 90.00
Space group Pbam (No. 55)
Inequivalent atoms, fractional coordinates:
Zn 0.0000 0.0000 0.0000 (multiplicity 2)
Cu 0.2327 0.3729 0.5000 (multiplicity 4)
Pt 0.0000 0.5000 0.0000 (multiplicity 2)
Pt 0.0193 0.7545 0.0000 (multiplicity 4)
Pt 0.2316 0.1205 0.5000 (multiplicity 4)

Summary:
- Formation energy from the elements: -0.24 eV/atom
- Mass density: 16.61 g/cm³
- Final energy: -5.1951 eV/atom

First-principles (PBE) data for a geometry-optimized Sm3Al4Ru4 structure, as listed in Alexandria.

Lattice parameters (Å, degrees): 7.6380 7.6380 7.6380 90.00 90.00 90.00
Space group I-43m (No. 217)
Inequivalent atoms, fractional coordinates:
Sm 0.0000 0.0000 0.5000 (multiplicity 6)
Al 0.1271 0.1271 0.1271 (multiplicity 8)
Ru 0.1912 0.1912 0.8088 (multiplicity 8)

Summary:
- Formation energy from the elements: -0.29 eV/atom
- Mass density: 7.18 g/cm³
- Final energy: -6.3087 eV/atom

First-principles (PBE) data for a geometry-optimized TmGaO3 structure, as listed in Alexandria.

Lattice parameters (Å, degrees): 6.0330 6.0330 11.6645 90.00 90.00 120.00
Space group P6_3cm (No. 185)
Inequivalent atoms, fractional coordinates:
Tm 0.0000 0.0000 0.0000 (multiplicity 2)
Tm 0.3333 0.6667 0.4588 (multiplicity 4)
Ga 0.0000 0.3339 0.2258 (multiplicity 6)
O 0.0000 0.0000 0.2016 (multiplicity 2)
O 0.0000 0.3062 0.3900 (multiplicity 6)
O 0.0000 0.3604 0.0630 (multiplicity 6)
O 0.3333 0.6667 0.2465 (multiplicity 4)

Summary:
- ΔE_f (raw): -2.79 eV/atom
- Mass density: 7.77 g/cm³
- Final energy: -7.2606 eV/atom

First-principles (PBE) data for a geometry-optimized AgTeCl2 structure, as listed in Alexandria.

Lattice parameters (Å, degrees): 3.9248 3.9248 14.9606 90.00 90.00 90.00
Space group I-4m2 (No. 119)
Inequivalent atoms, fractional coordinates:
Ag 0.0000 0.0000 0.0000 (multiplicity 2)
Te 0.0000 0.5000 0.2500 (multiplicity 2)
Cl 0.0000 0.0000 0.5000 (multiplicity 2)
Cl 0.0000 0.5000 0.7500 (multiplicity 2)

Summary:
- Excess energy over the best structure of this formula in the dataset: 338 meV/atom
- ΔE_f (raw): 0.00 eV/atom
- Mass density: 4.42 g/cm³
- Final energy: -2.4248 eV/atom

no.,magnetic moment (μB per formula unit)
1,4.08
2,0.00
3,0.00
4,0.00
5,0.00
6,0.00